# LiTiReMo

A relaxed LiTiReMo crystal (PBE, the Alexandria database).

The structure belongs to space group F-43m (No. 216); the cell edges are 6.2005, 6.2005 and 6.2005 Å and the angles 90.00°, 90.00° and 90.00°. Symmetry generates all atoms from Li at (0.0000, 0.0000, 0.0000), Ti at (0.2500, 0.2500, 0.7500), Re at (0.0000, 0.0000, 0.5000) and Mo at (0.2500, 0.2500, 0.2500).

The final energy is -132.108 eV per cell.

# LiReMo2W

A relaxed LiReMo2W crystal (PBE, the Alexandria database).

The structure belongs to space group P4/mmm (No. 123); the cell edges are 4.7047, 4.7047 and 4.1795 Å and the angles 90.00°, 90.00° and 90.00°. Symmetry generates all atoms from Li at (0.0000, 0.0000, 0.0000), Re at (0.0000, 0.0000, 0.5000), Mo at (0.0000, 0.5000, 0.5000) and W at (0.5000, 0.5000, 0.0000).

The final energy is -39.620 eV per cell.

# LiMo2Rh

A relaxed LiMo2Rh crystal (PBE, the Alexandria database).

The structure belongs to space group P4mm (No. 99); the cell edges are 3.1789, 3.1789 and 5.7302 Å and the angles 90.00°, 90.00° and 90.00°. Symmetry generates all atoms from Li at (0.0000, 0.0000, 0.0000), Mo at (0.0000, 0.0000, 0.5014), Mo at (0.5000, 0.5000, 0.2648) and Rh at (0.5000, 0.5000, 0.7951).

For the energy above the lowest structure with this stoichiometry, the calculation gives 0.096 eV per atom.